## TcSn2W (PBE-GGA)

Data for TcSn2W after structural relaxation.

abc: 6.0528 6.0528 6.0528
angles: 102.63 102.63 124.25
With the nearest neighbours (Å) after each atom.
Fractional coordinates of all 8 atoms:
1 Tc 0.0000 0.0000 0.0000  4 Sn 2.71, 2 W 2.83
2 Tc 0.7500 0.2500 0.5000  4 Sn 2.71, 2 W 2.83
3 Sn 0.1148 0.6250 0.9898  2 Tc 2.71, 2 W 2.82, 2 Sn 2.83
4 Sn 0.3750 0.3648 0.4898  2 Tc 2.71, 2 W 2.82, 2 Sn 2.83
5 Sn 0.6352 0.1250 0.0102  2 Tc 2.71, 2 W 2.82, 2 Sn 2.83
6 Sn 0.8750 0.8852 0.5102  2 Tc 2.71, 2 W 2.82, 2 Sn 2.83
7 W 0.2500 0.7500 0.5000  4 Sn 2.82, 2 Tc 2.83
8 W 0.5000 0.5000 0.0000  4 Sn 2.82, 2 Tc 2.83

As for the space group: No. 122. The value obtained for the relative energy among the computed polymorphs is 530.7 meV per atom. The formation energy comes out at 1.0549 eV per atom.